The following is a DFT calculation (GGA-PBE) of UCo3Si2 after structural relaxation.

Cell and atoms, written as POSCAR:
```
UCo3Si2
1.0
3.6886 0.0000 0.0000
-1.8443 7.3687 0.2161
0.0000 -3.1253 6.0387
Co Si U
6 4 2
Cartesian
1.8443 4.8428 3.9655
1.8443 1.2996 2.7835
1.8443 -0.7366 4.2122
0.0000 -0.5994 2.2892
0.0000 4.9800 2.0426
0.0000 2.9438 3.4712
1.8443 3.4947 2.1265
0.0000 4.4500 5.1081
0.0000 0.7487 4.1283
1.8443 -0.2066 1.1467
0.0000 2.0521 0.3712
1.8443 2.1913 5.8835
```

## Properties
For the total moment, the calculation gives 0.16 μB per atom. The density of states at the Fermi level is 15.95 states/eV per cell. For the raw formation energy, the calculation gives -0.423 eV/atom. The calculation puts the density at 9.388 Mg/m³.